1.
This record from the Alexandria database describes an optimized crystal structure of ZrAl2Rh. The functional is GGA-PBEsol.

Cell lengths 4.4706, 4.4706, 4.4706 Å; angles 60.00, 60.00, 60.00 degrees
Positions (direct):
Zr1 0.0000 0.0000 0.0000
Al1 0.2500 0.2500 0.2500
Al2 0.7500 0.7500 0.7500
Rh1 0.5000 0.5000 0.5000

Computed properties:
Raw total energy, eV per atom: -6.84
Formation energy, eV per atom: -0.488

=====

2.
This record from the Alexandria database describes an optimized crystal structure of Zr2AlRh. The functional is GGA-PBEsol.

Cell lengths 4.2237, 5.4499, 5.4499 Å; angles 35.90, 90.00, 90.00 degrees
Positions (direct):
Zr1 0.0000 0.0000 0.0000
Zr2 0.5000 0.3011 0.3011
Al1 0.0000 0.7220 0.7220
Rh1 0.5000 0.5653 0.5653

Computed properties:
Raw total energy, eV per atom: -8.18
Formation energy, eV per atom: -0.573

=====

3.
This record from the Alexandria database describes an optimized crystal structure of Zr2Al2Rh. The functional is GGA-PBEsol.

Cell lengths 6.4841, 6.4841, 4.2176 Å; angles 90.00, 90.00, 90.00 degrees
Positions (direct):
Zr1 0.1696 0.3304 0.0000
Zr2 0.3304 0.8304 0.0000
Zr3 0.6696 0.1696 0.0000
Zr4 0.8304 0.6696 0.0000
Al1 0.1391 0.6391 0.5000
Al2 0.3609 0.1391 0.5000
Al3 0.6391 0.8609 0.5000
Al4 0.8609 0.3609 0.5000
Rh1 0.0000 0.0000 0.5000
Rh2 0.5000 0.5000 0.5000

Computed properties:
Raw total energy, eV per atom: -7.49
Formation energy, eV per atom: -0.590

=====

4.
This record from the Alexandria database describes an optimized crystal structure of ZrAl2Rh. The functional is GGA-PBEsol.

Cell lengths 2.9945, 2.9945, 7.0526 Å; angles 90.00, 90.00, 90.00 degrees
Positions (direct):
Zr1 0.0000 0.0000 0.0000
Al1 0.5000 0.5000 0.2928
Al2 0.5000 0.5000 0.7072
Rh1 0.0000 0.0000 0.5000

Computed properties:
Raw total energy, eV per atom: -7.11
Formation energy, eV per atom: -0.760

=====

5.
This record from the Alexandria database describes an optimized crystal structure of Zr2AlRh. The functional is GGA-PBEsol.

Cell lengths 5.4101, 5.4101, 5.4101 Å; angles 137.60, 137.60, 61.52 degrees
Positions (direct):
Zr1 0.0000 0.0000 0.0000
Zr2 0.7500 0.2500 0.5000
Al1 0.5000 0.5000 0.0000
Rh1 0.2500 0.7500 0.5000

Computed properties:
Raw total energy, eV per atom: -8.12
Formation energy, eV per atom: -0.516

=====

6.
This record from the Alexandria database describes an optimized crystal structure of Zr2AlRh. The functional is GGA-PBEsol.

Cell lengths 3.1514, 3.1514, 7.2258 Å; angles 90.00, 90.00, 90.00 degrees
Positions (direct):
Zr1 0.0000 0.0000 0.0000
Zr2 0.5000 0.5000 0.3039
Al1 0.0000 0.0000 0.5806
Rh1 0.5000 0.5000 0.7661

Computed properties:
Raw total energy, eV per atom: -8.17
Formation energy, eV per atom: -0.571